The following is a GGA-PBE calculation of Sm2Sn6Pd after structural relaxation, from OQMD via LeMat-Bulk.

The calculation puts the magnetization at 0.0 Bohr magnetons per cell. The value obtained for the energy is -4.856 eV per atom.

The structure belongs to space group Cmmm (No. 65); the cell edges are 4.4316, 23.3033 and 4.5097 Å and the angles 90.00°, 90.00° and 90.00°. The distinct sites, in fractional coordinates, are Sm at (0.0000, 0.1778, 0.0000), Sn at (0.0000, 0.0729, 0.5000), Sn at (0.0000, 0.2932, 0.5000), Sn at (0.0000, 0.4284, 0.0000) and Pd at (0.0000, 0.5000, 0.5000).

***

The following is a GGA-PBE calculation of NdEr2 after structural relaxation, from OQMD via LeMat-Bulk.

The distance to the lowest polymorph of the same formula is 0.0 meV per atom. The calculation puts the magnetization at 16.3 Bohr magnetons per cell. The value obtained for the energy is -4.344 eV per atom.

The structure belongs to space group Fd-3m (No. 227, origin choice 2); the cell edges are 9.3376, 9.3376 and 9.3376 Å and the angles 90.00°, 90.00° and 90.00°. The distinct sites, in fractional coordinates, are Nd at (0.1250, 0.1250, 0.1250) and Er at (0.0000, 0.0000, 0.5000).

***

The following is a GGA-PBE calculation of YAgTe2 after structural relaxation, from OQMD via LeMat-Bulk.

The calculation puts the magnetization at 0.0 Bohr magnetons per cell. The value obtained for the energy is -4.785 eV per atom.

The structure belongs to space group P2_1/c (No. 14); the cell edges are 9.2849, 6.2394 and 8.7639 Å and the angles 90.00°, 91.35° and 90.00°. The distinct sites, in fractional coordinates, are Y at (0.1240, 0.2377, 0.1304), Ag at (0.4018, 0.5487, 0.1211), Te at (0.1145, 0.7417, 0.1267) and Te at (0.3503, 0.2075, 0.8870).

***

The following is a GGA-PBE calculation of Fe2Ge2As after structural relaxation, from OQMD via LeMat-Bulk.

The calculation puts the magnetization at 8.3 Bohr magnetons per cell. The value obtained for the energy is -5.843 eV per atom.

The structure belongs to space group I4/mmm (No. 139); the cell edges are 3.5732, 3.5732 and 12.0095 Å and the angles 90.00°, 90.00° and 90.00°. The distinct sites, in fractional coordinates, are Fe at (0.0000, 0.0000, 0.1026), Ge at (0.0000, 0.5000, 0.2500) and As at (0.0000, 0.0000, 0.5000).

***

The following is a GGA-PBE calculation of Li2NdZn4 after structural relaxation, from OQMD via LeMat-Bulk.

The calculation puts the magnetization at 0.0 Bohr magnetons per cell. The value obtained for the energy is -2.234 eV per atom.

The structure belongs to space group I4/mmm (No. 139); the cell edges are 6.9681, 6.9681 and 5.0330 Å and the angles 90.00°, 90.00° and 90.00°. The distinct sites, in fractional coordinates, are Li at (0.0000, 0.5000, 0.2500), Nd at (0.0000, 0.0000, 0.0000) and Zn at (0.1910, 0.1910, 0.5000).

***

The following is a GGA-PBE calculation of Sm2ThHg after structural relaxation, from OQMD via LeMat-Bulk.

The calculation puts the magnetization at 0.0 Bohr magnetons per cell. The value obtained for the energy is -4.539 eV per atom.

The structure belongs to space group P4/mmm (No. 123); the cell edges are 3.6608, 3.6608 and 8.9176 Å and the angles 90.00°, 90.00° and 90.00°. The distinct sites, in fractional coordinates, are Sm at (0.0000, 0.0000, 0.2290), Th at (0.5000, 0.5000, 0.5000) and Hg at (0.5000, 0.5000, 0.0000).

***

The following is a GGA-PBE calculation of ZrMo after structural relaxation, from OQMD via LeMat-Bulk.

The distance to the lowest polymorph of the same formula is 114.8 meV per atom. The calculation puts the magnetization at 0.0 Bohr magnetons per cell. The value obtained for the energy is -9.574 eV per atom.

The structure belongs to space group Pmmn (No. 59, origin choice 2); the cell edges are 4.8857, 11.2743 and 5.6243 Å and the angles 90.00°, 90.00° and 90.00°. The distinct sites, in fractional coordinates, are Zr at (0.2500, 0.0966, 0.0734), Zr at (0.2500, 0.2500, 0.5607), Zr at (0.2500, 0.7500, 0.7607), Mo at (0.2500, 0.5190, 0.6137) and Mo at (0.2500, 0.6378, 0.2243).

***

The following is a GGA-PBE calculation of GdMgInTe3 after structural relaxation, from OQMD via LeMat-Bulk.

The calculation puts the magnetization at 0.0 Bohr magnetons per cell. The value obtained for the energy is -3.961 eV per atom.

The structure belongs to space group Cmcm (No. 63); the cell edges are 4.4715, 15.2905 and 11.8117 Å and the angles 90.00°, 90.00° and 90.00°. The distinct sites, in fractional coordinates, are Gd at (0.0000, 0.0000, 0.0000), Mg at (0.0000, 0.4638, 0.2500), In at (0.0000, 0.2435, 0.7500), Te at (0.0000, 0.0770, 0.2500) and Te at (0.0000, 0.3626, 0.0555).

***

The following is a GGA-PBE calculation of KLuBAu after structural relaxation, from OQMD via LeMat-Bulk.

The distance to the lowest polymorph of the same formula is 0.0 meV per atom. The calculation puts the magnetization at 0.0 Bohr magnetons per cell. The value obtained for the energy is -3.343 eV per atom.

The structure belongs to space group F-43m (No. 216); the cell edges are 6.9865, 6.9865 and 6.9865 Å and the angles 90.00°, 90.00° and 90.00°. The distinct sites, in fractional coordinates, are K at (0.0000, 0.0000, 0.0000), Lu at (0.0000, 0.0000, 0.5000), B at (0.2500, 0.2500, 0.7500) and Au at (0.2500, 0.2500, 0.2500).

***

The following is a GGA-PBE calculation of HoTmIn4Fe2 after structural relaxation, from OQMD via LeMat-Bulk.

The calculation puts the magnetization at 7.7 Bohr magnetons per cell. The value obtained for the energy is -4.728 eV per atom.

The structure belongs to space group Amm2 (No. 38); the cell edges are 7.5857, 4.2508 and 10.5574 Å and the angles 90.00°, 90.00° and 90.00°. The distinct sites, in fractional coordinates, are Ho at (0.0000, 0.0000, 0.0000), Tm at (0.5000, 0.0000, 0.1342), In at (0.2006, 0.0000, 0.7078), In at (0.3006, 0.0000, 0.4262), Fe at (0.0000, 0.0000, 0.2797) and Fe at (0.5000, 0.0000, 0.8547).

***

The following is a GGA-PBE calculation of Sr2DyGa3Ge2Pt after structural relaxation, from OQMD via LeMat-Bulk.

The calculation puts the magnetization at 0.0 Bohr magnetons per cell. The value obtained for the energy is -4.277 eV per atom.

The structure belongs to space group Amm2 (No. 38); the cell edges are 4.3765, 12.6290 and 7.2454 Å and the angles 90.00°, 90.00° and 90.00°. The distinct sites, in fractional coordinates, are Sr at (0.0000, 0.2091, 0.0000), Dy at (0.0000, 0.0000, 0.3786), Ga at (0.5000, 0.0000, 0.0240), Ga at (0.5000, 0.1117, 0.6714), Ge at (0.5000, 0.1545, 0.2953) and Pt at (0.0000, 0.0000, 0.7718).

***

The following is a GGA-PBE calculation of TmPd3Cl after structural relaxation, from OQMD via LeMat-Bulk.

The calculation puts the magnetization at 0.0 Bohr magnetons per cell. The value obtained for the energy is -4.381 eV per atom.

The structure belongs to space group Pm-3m (No. 221); the cell edges are 4.6594, 4.6594 and 4.6594 Å and the angles 90.00°, 90.00° and 90.00°. The distinct sites, in fractional coordinates, are Tm at (0.0000, 0.0000, 0.0000), Pd at (0.0000, 0.5000, 0.5000) and Cl at (0.5000, 0.5000, 0.5000).

***

Copy entry 3 word for word.
The following is a GGA-PBE calculation of YAgTe2 after structural relaxation, from OQMD via LeMat-Bulk.

The calculation puts the magnetization at 0.0 Bohr magnetons per cell. The value obtained for the energy is -4.785 eV per atom.

The structure belongs to space group P2_1/c (No. 14); the cell edges are 9.2849, 6.2394 and 8.7639 Å and the angles 90.00°, 91.35° and 90.00°. The distinct sites, in fractional coordinates, are Y at (0.1240, 0.2377, 0.1304), Ag at (0.4018, 0.5487, 0.1211), Te at (0.1145, 0.7417, 0.1267) and Te at (0.3503, 0.2075, 0.8870).

***

Repeat the fourth record exactly.
The following is a GGA-PBE calculation of Fe2Ge2As after structural relaxation, from OQMD via LeMat-Bulk.

The calculation puts the magnetization at 8.3 Bohr magnetons per cell. The value obtained for the energy is -5.843 eV per atom.

The structure belongs to space group I4/mmm (No. 139); the cell edges are 3.5732, 3.5732 and 12.0095 Å and the angles 90.00°, 90.00° and 90.00°. The distinct sites, in fractional coordinates, are Fe at (0.0000, 0.0000, 0.1026), Ge at (0.0000, 0.5000, 0.2500) and As at (0.0000, 0.0000, 0.5000).